CaLuInBi: optimized geometry, PBE.

* D(E_F): 0.5872 states/eV per atom
* E_tot: -3.711 eV/atom

a = 7.7032 Å, b = 7.7032 Å, c = 7.7032 Å
α = 90.00°, β = 90.00°, γ = 90.00°
Space group F-43m (No. 216)
Asymmetric unit:
Ca  0.0000  0.0000  0.0000 (multiplicity 4)
Lu  0.0000  0.0000  0.5000 (multiplicity 4)
In  0.2500  0.2500  0.7500 (multiplicity 4)
Bi  0.2500  0.2500  0.2500 (multiplicity 4)


LaP2Se: optimized geometry, PBE.

* D(E_F): 0.3428 states/eV per atom
* formation energy from raw total energies: -711 meV/atom

a = 4.2613 Å, b = 4.0646 Å, c = 5.7916 Å
α = 90.00°, β = 107.24°, γ = 90.00°
Space group P2/m (No. 10)
Asymmetric unit:
La  0.0000  0.0000  0.0000 (multiplicity 1)
P  0.3907  0.5000  0.8066 (multiplicity 2)
Se  0.5000  0.0000  0.5000 (multiplicity 1)


Pu2Ga4RuPt3: optimized geometry, PBE.

* D(E_F): 2.7743 states/eV per atom
* E_tot: -7.484 eV/atom

a = 4.2671 Å, b = 4.2671 Å, c = 10.3782 Å
α = 90.00°, β = 90.00°, γ = 90.00°
Space group P-4m2 (No. 115)
Asymmetric unit:
Pu  0.0000  0.5000  0.2384 (multiplicity 2)
Ga  0.0000  0.0000  0.5000 (multiplicity 1)
Ga  0.0000  0.5000  0.8729 (multiplicity 2)
Ga  0.5000  0.5000  0.5000 (multiplicity 1)
Ru  0.5000  0.5000  0.0000 (multiplicity 1)
Pt  0.0000  0.0000  0.0000 (multiplicity 1)
Pt  0.0000  0.5000  0.6343 (multiplicity 2)


HgH4Pd6: optimized geometry, PBE.

* D(E_F): 0.3066 states/eV per atom
* relative energy among the computed polymorphs: 0.0 kJ per mole of atoms

a = 4.9710 Å, b = 10.6481 Å, c = 4.9824 Å
α = 90.00°, β = 97.67°, γ = 90.00°
Space group P2_1/m (No. 11)
Asymmetric unit:
Hg  0.0371  0.2500  0.1573 (multiplicity 2)
H  0.0701  0.5766  0.3277 (multiplicity 4)
H  0.4388  0.6196  0.5791 (multiplicity 4)
Pd  0.0000  0.0000  0.0000 (multiplicity 2)
Pd  0.2539  0.0650  0.5416 (multiplicity 4)
Pd  0.2603  0.7500  0.3850 (multiplicity 2)
Pd  0.4810  0.6241  0.9349 (multiplicity 4)


Ca3Cd2Ge: optimized geometry, PBE.

* D(E_F): 0.6976 states/eV per atom
* E_tot: -2.505 eV/atom

a = 5.3065 Å, b = 5.3065 Å, c = 6.5501 Å
α = 90.00°, β = 90.00°, γ = 120.00°
Space group P-3m1 (No. 164)
Asymmetric unit:
Ca  0.0000  0.0000  0.0000 (multiplicity 1)
Ca  0.3333  0.6667  0.6479 (multiplicity 2)
Cd  0.3333  0.6667  0.1425 (multiplicity 2)
Ge  0.0000  0.0000  0.5000 (multiplicity 1)


ScSN: optimized geometry, PBE.

* D(E_F): 0.3736 states/eV per atom
* formation energy from raw total energies: -1238 meV/atom
* relative energy among the computed polymorphs: 0.0 kJ per mole of atoms

a = 8.0523 Å, b = 3.6501 Å, c = 7.3773 Å
α = 90.00°, β = 103.09°, γ = 90.00°
Space group P2_1/c (No. 14)
Asymmetric unit:
Sc  0.1620  0.2432  0.4153 (multiplicity 4)
S  0.1691  0.7502  0.1671 (multiplicity 4)
N  0.4372  0.0812  0.4843 (multiplicity 4)